# RbPaAs2 PBE relaxed
# Energy above the lowest structure with this stoichiometry (meV/atom): 187
# VASP energy (eV/atom): -5.556
# Magnetic moment (μB per cell): 0.00
data_RbPaAs2
_symmetry_space_group_name_H-M 'P 4/m m m'
_symmetry_Int_Tables_number 123
_symmetry_space_group_name_Hall '-P 4 2'
_cell_length_a 3.722
_cell_length_b 3.722
_cell_length_c 8.148
_cell_angle_alpha 90.00
_cell_angle_beta 90.00
_cell_angle_gamma 90.00
loop_
_atom_site_label
_atom_site_type_symbol
_atom_site_fract_x
_atom_site_fract_y
_atom_site_fract_z
_atom_site_occupancy
Rb1 Rb 0.000 0.000 0.000 1
Pa1 Pa 0.000 0.000 0.500 1
As1 As 0.500 0.500 0.318 1